Ce3AsSe: optimized geometry, PBE-GGA.

Structure (POSCAR):
```
Ce3AsSe
1.0
-1.4033 1.5667 -3.4579
-1.1888 -7.8066 -3.0531
-6.0173 0.5098 7.4098
Ce As Se
6 2 2
direct
0.3386 0.3317 0.5887
0.8439 0.3251 0.0939
0.9301 0.0333 0.1801
0.6614 0.6683 0.4113
0.0699 0.9667 0.8199
0.1561 0.6749 0.9061
0.4134 0.6958 0.6633
0.5866 0.3042 0.3367
0.0846 0.3135 0.8347
0.9154 0.6865 0.1653
```

N(E_F), states/eV/atom: 2.85
Crystal system: monoclinic


CeAsSe: optimized geometry, PBE-GGA.

Structure (POSCAR):
```
CeAsSe
1.0
4.0497 0.0000 0.0000
0.0000 4.0497 0.0000
-2.0248 -2.0248 8.5773
Ce As Se
2 2 2
direct
0.3651 0.3651 0.7302
0.6349 0.6349 0.2698
0.0000 0.5000 0.0000
0.5000 0.0000 0.0000
0.1850 0.1850 0.3700
0.8150 0.8150 0.6300
```

N(E_F), states/eV/atom: 1.58
Crystal system: tetragonal


Ce8As3Se4: optimized geometry, PBE-GGA.

Structure (POSCAR):
```
Ce8As3Se4
1.0
8.3713 -0.1210 -0.1738
-4.0881 7.3188 0.1410
-4.0881 -2.4085 6.9126
Ce As Se
8 3 4
direct
0.5047 0.2538 0.2538
0.0000 0.7488 0.2512
0.0032 0.2518 0.2518
0.5000 0.7488 0.2512
0.5000 0.2512 0.7488
0.9968 0.7482 0.7482
0.0000 0.2512 0.7488
0.4953 0.7462 0.7462
0.5000 0.5000 0.0000
0.5000 0.0000 0.5000
0.5000 0.5000 0.5000
0.5000 0.0000 0.0000
0.0000 0.5000 0.0000
0.0000 0.0000 0.0000
0.0000 0.0000 0.5000
```

N(E_F), states/eV/atom: 3.23
Crystal system: monoclinic


Ce4As3Se: optimized geometry, PBE-GGA.

Structure (POSCAR):
```
Ce4As3Se
1.0
-3.0994 -2.6644 1.0505
3.6831 -2.8010 3.7624
-2.3731 5.2039 6.1972
As Se Ce
3 1 4
direct
0.5000 0.5000 0.2491
0.0000 0.0000 0.5000
0.5000 0.5000 0.7509
0.0000 0.0000 0.0000
0.0000 0.5000 0.5000
0.5000 0.0000 0.7464
0.0000 0.5000 0.0000
0.5000 0.0000 0.2536
```

N(E_F), states/eV/atom: 2.79
Crystal system: orthorhombic


Ce4AsSe3: optimized geometry, PBE-GGA.

Structure (POSCAR):
```
Ce4AsSe3
1.0
-1.8240 3.0296 2.2779
-5.6030 0.1319 -4.6618
-1.3686 -4.8112 5.3030
As Se Ce
1 3 4
direct
0.5000 0.0000 0.0000
0.0000 0.0000 0.5000
0.5000 0.5000 0.5000
0.0000 0.5000 0.0000
0.0000 0.2469 0.2469
0.5000 0.7516 0.2484
0.0000 0.7531 0.7531
0.5000 0.2484 0.7516
```

N(E_F), states/eV/atom: 2.93
Crystal system: orthorhombic


Ce6SiAs2Se3: optimized geometry, PBE-GGA.

Structure (POSCAR):
```
Ce6SiAs2Se3
1.0
4.2180 0.0000 0.0000
0.0000 8.4169 0.3120
-2.1090 -2.4166 8.8590
Ce Si As Se
6 1 2 3
direct
0.3357 0.9149 0.6714
0.6676 0.5805 0.3353
0.6643 0.0851 0.3286
0.0008 0.2444 0.0017
0.9992 0.7556 0.9983
0.3324 0.4195 0.6647
0.5000 0.0000 0.0000
0.8332 0.6663 0.6664
0.1668 0.3337 0.3336
0.5000 0.5000 0.0000
0.8328 0.1667 0.6656
0.1672 0.8333 0.3344
```

N(E_F), states/eV/atom: 2.83
Crystal system: monoclinic


| no. | ΔE_f (raw) (eV per atom) |
| --- | --- |
| 1 | -1.12 |
| 2 | -1.45 |
| 3 | -1.48 |
| 4 | -1.54 |
| 5 | -1.73 |
| 6 | -1.50 |